# 1
The following is a PBEsol calculation of Zr2AlAu after structural relaxation, from Alexandria.

The value obtained for the energy relative to the elements is -0.503 eV per atom. The raw total energy is -7.052 eV per atom.

The space group is Cmmm (No. 65) and the conventional cell measures 5.832, 8.138 and 3.172 Å, with angles of 90.00, 90.00 and 90.00 degrees. The asymmetric unit holds Zr at (0.250, 0.250, 0.000), Al at (0.000, 0.000, 0.500) and Au at (0.000, 0.500, 0.500).

# 2
The following is a PBEsol calculation of RbAgTe2 after structural relaxation, from Alexandria.

The raw total energy is -3.195 eV per atom. For the formation energy without anion corrections, the calculation gives -1.39 eV/f.u.

The space group is I-42d (No. 122) and the conventional cell measures 5.896, 5.896 and 18.327 Å, with angles of 90.00, 90.00 and 90.00 degrees. The asymmetric unit holds Rb at (0.000, 0.000, 0.000), Ag at (0.000, 0.000, 0.500) and Te at (0.068, 0.250, 0.625).

# 3
The following is a PBEsol calculation of Zr5Au after structural relaxation, from Alexandria.

The value obtained for the energy relative to the elements is -0.171 eV per atom. The raw total energy is -8.400 eV per atom. Its polymorph energy (0 for the lowest one) is 27 meV/atom.

The space group is Cm (No. 8) and the conventional cell measures 11.160, 3.159 and 7.521 Å, with angles of 90.00, 106.28 and 90.00 degrees. The asymmetric unit holds Zr at (0.000, 0.000, 0.000), Zr at (0.008, 0.000, 0.608), Zr at (0.160, 0.500, 0.359), Zr at (0.213, 0.500, 0.918), Zr at (0.373, 0.000, 0.261) and Au at (0.304, 0.000, 0.661).

# 4
The following is a PBEsol calculation of LiNbCl3 after structural relaxation, from Alexandria.

The raw total energy is -4.551 eV per atom. For the formation energy without anion corrections, the calculation gives -3.95 eV/f.u. Its polymorph energy (0 for the lowest one) is 0 meV/atom.

The space group is Pm-3m (No. 221) and the conventional cell measures 4.893, 4.893 and 4.893 Å, with angles of 90.00, 90.00 and 90.00 degrees. The asymmetric unit holds Li at (0.000, 0.000, 0.000), Nb at (0.500, 0.500, 0.500) and Cl at (0.000, 0.500, 0.500).